1:
First-principles (PBE) data for MnPRuCN after structural relaxation, as listed in Alexandria. Values from VASP.

The structure in Quantum ESPRESSO input format:
```
&SYSTEM
  ibrav = 0, nat = 10, ntyp = 5
/
ATOMIC_SPECIES
Ru 101.07 Ru.upf
N 14.01 N.upf
Mn 54.94 Mn.upf
C 12.01 C.upf
P 30.97 P.upf
ATOMIC_POSITIONS crystal
Ru 0.000 0.500 0.488
Ru 0.500 0.000 0.988
N 0.000 0.500 0.201
N 0.500 0.000 0.701
Mn 0.000 0.000 0.312
Mn 0.500 0.500 0.812
C 0.000 0.000 0.871
C 0.500 0.500 0.371
P 0.000 0.000 0.622
P 0.500 0.500 0.122
CELL_PARAMETERS angstrom
-1.073 1.714 1.814
0.631 -1.753 2.029
11.987 5.983 1.439
```

Results
Its magnetization is 0.3 μB/f.u. As for the density of states at the Fermi level: 2.48 states/eV/f.u. Its space group is Imm2, No. 44.


2:
First-principles (PBE) data for MnPRuCN after structural relaxation, as listed in Alexandria. Values from VASP.

The structure in Quantum ESPRESSO input format:
```
&SYSTEM
  ibrav = 0, nat = 10, ntyp = 5
/
ATOMIC_SPECIES
Ru 101.07 Ru.upf
N 14.01 N.upf
Mn 54.94 Mn.upf
C 12.01 C.upf
P 30.97 P.upf
ATOMIC_POSITIONS crystal
Ru 0.839 0.000 0.209
Ru 0.839 0.500 0.709
N 0.291 0.000 0.693
N 0.291 0.500 0.193
Mn 0.463 0.000 0.084
Mn 0.463 0.500 0.584
C 0.618 0.000 0.469
C 0.618 0.500 0.969
P 0.060 0.000 0.616
P 0.060 0.500 0.116
CELL_PARAMETERS angstrom
-0.403 -5.987 3.717
2.976 0.093 0.473
-0.682 3.776 3.549
```

Results
Its magnetization is 2.7 μB/f.u. As for the density of states at the Fermi level: 3.61 states/eV/f.u. Its space group is R3m, No. 160.


Energies relative to the most stable structure are 1 0.0; 2 3.3, reported in kJ/mol of atoms.